Below is an optimized crystal structure of LaTl2Ni, with properties calculated at the PBE level.

It has space group I-42d (No. 122), with a = 4.3558 Å, b = 4.3558 Å, c = 22.6632 Å, α = 90.00°, β = 90.00° and γ = 90.00°. The inequivalent atoms are La at (0.0000, 0.0000, 0.0000), Tl at (0.2277, 0.2500, 0.6250) and Ni at (0.0000, 0.0000, 0.5000).

The calculation puts the formation enthalpy at 0 K at 0.29 eV/f.u. The calculation puts the total magnetic moment at 0.0 μB/f.u. The value obtained for the raw total energy is -3.79 eV/atom. The calculation puts the density of states at the Fermi level at 8.9 states/eV per cell.